1.
A relaxed structure of Tb4Tm2ThSc. Source: the Alexandria database, functional PBE.

Unit cell a=5.781 b=5.781 c=7.362 alpha=90.00 beta=90.00 gamma=90.00
Space group P4/mmm (No. 123)
Inequivalent atoms, fractional coordinates:
Tb 0.000 0.500 0.239 [4 per cell]
Tm 0.000 0.000 0.000 [1 per cell]
Tm 0.500 0.500 0.500 [1 per cell]
Th 0.000 0.000 0.500 [1 per cell]
Sc 0.500 0.500 0.000 [1 per cell]

Computed properties:
DFT total energy = -40.0 eV for the cell shown

***

2.
A relaxed structure of Tb3Tm6ThSc2. Source: the Alexandria database, functional PBE.

Unit cell a=6.005 b=10.405 c=11.573 alpha=90.00 beta=100.00 gamma=90.00
Space group C2/m (No. 12)
Inequivalent atoms, fractional coordinates:
Tb 0.000 0.000 0.000 [2 per cell]
Tb 0.000 0.333 0.000 [4 per cell]
Tm 0.248 0.334 0.746 [8 per cell]
Tm 0.249 0.000 0.745 [4 per cell]
Th 0.000 0.500 0.500 [2 per cell]
Sc 0.000 0.167 0.500 [4 per cell]

Computed properties:
DFT total energy = -120.8 eV for the cell shown

***

3.
A relaxed structure of TbTm2ThSc5. Source: the Alexandria database, functional PBE.

Unit cell a=5.377 b=19.576 c=9.618 alpha=90.00 beta=90.00 gamma=90.00
Space group Cmc2_1 (No. 36)
Inequivalent atoms, fractional coordinates:
Tb 0.000 0.205 0.000 [4 per cell]
Tm 0.000 0.107 0.702 [4 per cell]
Tm 0.000 0.133 0.319 [4 per cell]
Th 0.000 0.408 0.602 [4 per cell]
Sc 0.000 0.017 0.999 [4 per cell]
Sc 0.000 0.264 0.678 [4 per cell]
Sc 0.000 0.309 0.301 [4 per cell]
Sc 0.000 0.401 0.003 [4 per cell]
Sc 0.000 0.474 0.299 [4 per cell]

Computed properties:
DFT total energy = -204.2 eV for the cell shown

***

no.,density (g/cm³)
1,8.44
2,8.45
3,6.26